16
Lattice="7.474 0.000 0.000 0.000 7.474 0.000 0.000 0.000 5.151" Properties=species:S:1:pos:R:3 comment="TcAg2W | Alexandria | PBE | relaxed" energy_ev_per_atom=-5.9438 sg="No. 122" magnetic_moment_mub_per_atom=0.23 pbc="T T T"
Tc 0.000 0.000 0.000
Tc 0.000 3.737 1.288
Tc 3.737 0.000 3.863
Tc 3.737 3.737 2.576
Ag 1.861 1.869 3.220
Ag 1.869 5.598 4.507
Ag 1.869 5.614 1.932
Ag 1.876 1.869 0.644
Ag 5.598 5.606 0.644
Ag 5.606 1.861 1.932
Ag 5.606 1.876 4.507
Ag 5.614 5.606 3.220
W 0.000 0.000 2.576
W 0.000 3.737 3.863
W 3.737 0.000 1.288
W 3.737 3.737 0.000



5
Lattice="4.740 0.000 0.000 0.000 4.740 0.000 0.000 0.000 5.146" Properties=species:S:1:pos:R:3 comment="TaPdPbS2 | Alexandria | PBE | relaxed" e_form_raw_mev_per_atom=-223 sg="No. 123" magnetic_moment_mub_per_atom=0.00 pbc="T T T"
Ta 0.000 0.000 0.000
Pd 0.000 0.000 2.573
Pb 2.370 2.370 2.573
S 0.000 2.370 0.000
S 2.370 0.000 0.000



18
Lattice="2.939 -10.546 0.000 2.939 10.546 0.000 0.000 0.000 11.035" Properties=species:S:1:pos:R:3 comment="Ac2Pr5SmY | Alexandria | PBE | relaxed" energy_ev_per_atom=-4.6830 sg="No. 36" magnetic_moment_mub_per_atom=0.00 pbc="T T T"
Ac 2.939 8.172 5.517
Ac 2.939 8.060 0.916
Ac 2.939 -8.060 6.433
Ac 2.939 -8.172 0.000
Pr 2.939 10.165 8.694
Pr 2.939 4.618 0.829
Pr 2.939 4.353 5.143
Pr 2.939 2.303 8.710
Pr 2.939 0.361 5.637
Pr 2.939 -0.361 0.119
Pr 2.939 -2.303 3.192
Pr 2.939 -4.353 10.660
Pr 2.939 -4.618 6.346
Pr 2.939 -10.165 3.176
Sm 2.939 6.189 8.536
Sm 2.939 -6.189 3.019
Y 2.939 1.973 2.588
Y 2.939 -1.973 8.105



11
Lattice="4.783 0.000 0.000 1.660 6.277 0.000 1.643 -0.112 6.353" Properties=species:S:1:pos:R:3 comment="Ba2C2ClO6 | Alexandria | PBE | relaxed" e_form_raw_mev_per_atom=-2010 sg="No. 2" magnetic_moment_mub_per_atom=0.09 pbc="T T T"
Ba 0.847 1.539 1.566
Ba 7.239 4.626 4.787
C 3.275 1.041 4.302
C 4.811 5.124 2.051
Cl 3.221 3.139 0.000
O 2.678 2.044 3.744
O 2.724 0.429 5.302
O 3.679 5.527 2.502
O 4.407 0.638 3.851
O 5.362 5.736 1.051
O 5.407 4.122 2.609



6
Lattice="3.332 0.000 0.000 0.000 3.332 0.000 0.000 0.000 11.345" Properties=species:S:1:pos:R:3 comment="NdAlPd | Alexandria | PBE | relaxed" energy_ev_per_atom=-5.1828 sg="No. 107" magnetic_moment_mub_per_atom=0.00 pbc="T T T"
Nd 0.000 0.000 0.000
Nd 1.666 1.666 5.672
Al 0.000 0.000 3.344
Al 1.666 1.666 9.016
Pd 0.000 0.000 7.884
Pd 1.666 1.666 2.211



12
Lattice="3.025 0.000 0.000 -1.513 2.620 0.000 0.000 0.000 25.736" Properties=species:S:1:pos:R:3 comment="SbRuPt2 | Alexandria | PBE | relaxed" e_form_raw_mev_per_atom=212 sg="No. 160" magnetic_moment_mub_per_atom=0.00 pbc="T T T"
Sb 0.000 0.000 0.000
Sb 0.000 1.747 17.157
Sb 1.513 0.873 8.579
Ru 0.000 0.000 6.561
Ru 0.000 1.747 23.718
Ru 1.513 0.873 15.139
Pt 0.000 0.000 12.995
Pt 0.000 0.000 19.323
Pt 0.000 1.747 4.417
Pt 0.000 1.747 10.744
Pt 1.513 0.873 2.166
Pt 1.513 0.873 21.574



16
Lattice="7.612 0.000 0.000 0.000 7.612 0.000 0.000 0.000 7.612" Properties=species:S:1:pos:R:3 comment="LaTmLuAl | Alexandria | PBE | relaxed" energy_ev_per_atom=-4.4936 sg="No. 216" magnetic_moment_mub_per_atom=0.05 pbc="T T T"
La 0.000 0.000 0.000
La 0.000 3.806 3.806
La 3.806 0.000 3.806
La 3.806 3.806 0.000
Tm 0.000 0.000 3.806
Tm 0.000 3.806 0.000
Tm 3.806 0.000 0.000
Tm 3.806 3.806 3.806
Lu 1.903 1.903 5.709
Lu 1.903 5.709 1.903
Lu 5.709 1.903 1.903
Lu 5.709 5.709 5.709
Al 1.903 1.903 1.903
Al 1.903 5.709 5.709
Al 5.709 1.903 5.709
Al 5.709 5.709 1.903



5
Lattice="4.810 0.000 0.000 0.000 4.810 0.000 0.000 0.000 4.810" Properties=species:S:1:pos:R:3 comment="Zn3PdC | Alexandria | PBE | relaxed" energy_ev_per_atom=-2.2687 sg="No. 221" magnetic_moment_mub_per_atom=0.40 pbc="T T T"
Zn 0.000 0.000 2.405
Zn 0.000 2.405 0.000
Zn 2.405 0.000 0.000
Pd 0.000 0.000 0.000
C 2.405 2.405 2.405